1.
# CuTePbF

Crystalline CuTePbF at its relaxed geometry (PBE, OQMD via LeMat-Bulk).

As for the energy: -32.516 eV per cell. The excess energy over the best structure of this formula in the dataset comes out at 0.0 meV/atom.

Lattice parameters (Å, degrees): 4.1721 4.1721 9.5258 90.00 90.00 90.00
Fractional positions:
Cu 0.0000 0.0000 0.5000
Cu 0.5000 0.5000 0.5000
F 0.0000 0.0000 0.0000
F 0.5000 0.5000 0.0000
Pb 0.0000 0.5000 0.1572
Pb 0.5000 0.0000 0.8428
Te 0.5000 0.0000 0.3250
Te 0.0000 0.5000 0.6750

***

2.
# Y4CdAuC2

Crystalline Y4CdAuC2 at its relaxed geometry (PBE, OQMD via LeMat-Bulk).

As for the energy: -51.724 eV per cell.

Lattice parameters (Å, degrees): 3.6429 3.6429 15.1928 90.00 90.00 120.00
Fractional positions:
Au 0.0000 0.0000 0.0000
C 0.3333 0.6667 0.2351
C 0.3333 0.6667 0.7649
Cd 0.6667 0.3333 0.5000
Y 0.6667 0.3333 0.1469
Y 0.0000 0.0000 0.3244
Y 0.0000 0.0000 0.6756
Y 0.6667 0.3333 0.8531

***

3.
# DyTlPO

Crystalline DyTlPO at its relaxed geometry (PBE, OQMD via LeMat-Bulk).

As for the energy: -45.236 eV per cell. The excess energy over the best structure of this formula in the dataset comes out at 6.3 meV/atom.

Lattice parameters (Å, degrees): 4.1555 4.1555 9.4156 90.00 90.00 90.00
Fractional positions:
Dy 0.0000 0.5000 0.1044
Dy 0.5000 0.0000 0.8956
O 0.0000 0.0000 0.0000
O 0.5000 0.5000 0.0000
P 0.5000 0.0000 0.2771
P 0.0000 0.5000 0.7229
Tl 0.0000 0.0000 0.5000
Tl 0.5000 0.5000 0.5000

***

4.
# ZrGaCuMo

Crystalline ZrGaCuMo at its relaxed geometry (PBE, OQMD via LeMat-Bulk).

As for the energy: -25.617 eV per cell. The excess energy over the best structure of this formula in the dataset comes out at 0.0 meV/atom.

Lattice parameters (Å, degrees): 4.5281 4.5281 4.5281 60.00 60.00 60.00
Fractional positions:
Cu 0.7500 0.7500 0.7500
Ga 0.0000 0.0000 0.0000
Mo 0.2500 0.2500 0.2500
Zr 0.5000 0.5000 0.5000

***

5.
# CdCoCuMo

Crystalline CdCoCuMo at its relaxed geometry (PBE, OQMD via LeMat-Bulk).

As for the energy: -21.223 eV per cell. The excess energy over the best structure of this formula in the dataset comes out at 0.0 meV/atom.

Lattice parameters (Å, degrees): 4.3104 4.3104 4.3104 60.00 60.00 60.00
Fractional positions:
Cd 0.5000 0.5000 0.5000
Co 0.2500 0.2500 0.2500
Cu 0.7500 0.7500 0.7500
Mo 0.0000 0.0000 0.0000

***

6.
# H6AuCBr3N

Crystalline H6AuCBr3N at its relaxed geometry (PBE, OQMD via LeMat-Bulk).

As for the energy: -401.791 eV per cell.

Lattice parameters (Å, degrees): 7.8842 7.8842 23.8791 90.00 90.00 90.00
Fractional positions:
Au 0.0421 0.0421 0.0000
Au 0.5435 0.5435 0.0000
Au 0.9565 0.0435 0.2500
Au 0.4579 0.5421 0.2500
Au 0.4565 0.4565 0.5000
Au 0.9579 0.9579 0.5000
Au 0.5421 0.4579 0.7500
Au 0.0435 0.9565 0.7500
Br 0.3175 0.3175 0.0000
Br 0.7677 0.7677 0.0000
Br 0.7711 0.3223 0.0079
Br 0.0502 0.0158 0.1029
Br 0.4498 0.5158 0.1471
Br 0.7289 0.8223 0.2421
Br 0.7323 0.2677 0.2500
Br 0.1825 0.8175 0.2500
Br 0.1777 0.2711 0.2579
Br 0.4842 0.5502 0.3529
Br 0.9842 0.9498 0.3971
Br 0.6777 0.2289 0.4921
Br 0.2323 0.2323 0.5000
Br 0.6825 0.6825 0.5000
Br 0.2289 0.6777 0.5079
Br 0.9498 0.9842 0.6029
Br 0.5502 0.4842 0.6471
Br 0.2711 0.1777 0.7421
Br 0.8175 0.1825 0.7500
Br 0.2677 0.7323 0.7500
Br 0.8223 0.7289 0.7579
Br 0.5158 0.4498 0.8529
Br 0.0158 0.0502 0.8971
Br 0.3223 0.7711 0.9921
C 0.5548 0.0159 0.1111
C 0.9452 0.5159 0.1389
C 0.4841 0.0548 0.3611
C 0.9841 0.4452 0.3889
C 0.4452 0.9841 0.6111
C 0.0548 0.4841 0.6389
C 0.5159 0.9452 0.8611
C 0.0159 0.5548 0.8889
H 0.0091 0.5285 0.0539
H 0.5003 0.0632 0.0720
H 0.0518 0.7080 0.0891
H 0.1780 0.5390 0.0973
H 0.5561 0.8771 0.1113
H 0.6835 0.0649 0.1166
H 0.8165 0.5649 0.1334
H 0.9439 0.3771 0.1387
H 0.3220 0.0390 0.1527
H 0.4482 0.2080 0.1609
H 0.9997 0.5632 0.1780
H 0.4909 0.0285 0.1961
H 0.9715 0.5091 0.3039
H 0.4368 0.0003 0.3220
H 0.7920 0.5518 0.3391
H 0.9610 0.6780 0.3473
H 0.6229 0.0561 0.3613
H 0.4351 0.1835 0.3666
H 0.9351 0.3165 0.3834
H 0.1229 0.4439 0.3887
H 0.4610 0.8220 0.4027
H 0.2920 0.9482 0.4109
H 0.9368 0.4997 0.4280
H 0.4715 0.9909 0.4461
H 0.9909 0.4715 0.5539
H 0.4997 0.9368 0.5720
H 0.9482 0.2920 0.5891
H 0.8220 0.4610 0.5973
H 0.4439 0.1229 0.6113
H 0.3165 0.9351 0.6166
H 0.1835 0.4351 0.6334
H 0.0561 0.6229 0.6387
H 0.6780 0.9610 0.6527
H 0.5518 0.7920 0.6609
H 0.0003 0.4368 0.6780
H 0.5091 0.9715 0.6961
H 0.0285 0.4909 0.8039
H 0.5632 0.9997 0.8220
H 0.2080 0.4482 0.8391
H 0.0390 0.3220 0.8473
H 0.3771 0.9439 0.8613
H 0.5649 0.8165 0.8666
H 0.0649 0.6835 0.8834
H 0.8771 0.5561 0.8887
H 0.5390 0.1780 0.9027
H 0.7080 0.0518 0.9109
H 0.0632 0.5003 0.9280
H 0.5285 0.0091 0.9461
N 0.0526 0.5761 0.0917
N 0.4474 0.0761 0.1583
N 0.9239 0.5526 0.3417
N 0.4239 0.9474 0.4083
N 0.9474 0.4239 0.5917
N 0.5526 0.9239 0.6583
N 0.0761 0.4474 0.8417
N 0.5761 0.0526 0.9083

***

7.
# ZnGa2Co3

Crystalline ZnGa2Co3 at its relaxed geometry (PBE, OQMD via LeMat-Bulk).

As for the energy: -29.909 eV per cell.

Lattice parameters (Å, degrees): 2.8762 2.8762 8.6141 90.00 90.00 90.00
Fractional positions:
Co 0.5000 0.5000 0.0000
Co 0.5000 0.5000 0.3283
Co 0.5000 0.5000 0.6717
Ga 0.0000 0.0000 0.1693
Ga 0.0000 0.0000 0.8307
Zn 0.0000 0.0000 0.5000

***

8.
# CdH13C13NO7

Crystalline CdH13C13NO7 at its relaxed geometry (PBE, OQMD via LeMat-Bulk).

As for the energy: -447.414 eV per cell.

Lattice parameters (Å, degrees): 8.2781 8.4232 9.8310 100.07 98.34 103.38
Fractional positions:
C 0.5722 0.7651 0.0093
C 0.6560 0.9339 0.0437
C 0.4125 0.3325 0.1146
C 0.2407 0.0869 0.1631
C 0.3167 0.2585 0.2042
C 0.2379 0.5929 0.2297
C 0.7982 0.4004 0.2706
C 0.2939 0.3523 0.3380
C 0.2592 0.5102 0.3511
C 0.7605 0.4827 0.4046
C 0.7183 0.6353 0.4154
C 0.3073 0.2830 0.4573
C 0.2318 0.5906 0.4788
C 0.7682 0.4094 0.5212
C 0.6927 0.7170 0.5427
C 0.2817 0.3647 0.5846
C 0.2395 0.5173 0.5954
C 0.7408 0.4898 0.6489
C 0.7061 0.6477 0.6620
C 0.2018 0.5996 0.7294
C 0.7621 0.4071 0.7703
C 0.6833 0.7415 0.7958
C 0.7593 0.9131 0.8369
C 0.5875 0.6675 0.8854
C 0.3440 0.0661 0.9563
C 0.4278 0.2349 0.9907
Cd 0.8819 0.2845 0.0164
Cd 0.1181 0.7155 0.9836
H 0.4963 0.7130 0.0804
H 0.6532 0.0144 0.1421
H 0.8728 0.6596 0.1431
H 0.4782 0.4647 0.1433
H 0.9417 0.8541 0.2122
H 0.1660 0.0223 0.2291
H 0.7069 0.6905 0.3236
H 0.4923 0.8953 0.3347
H 0.8052 0.9852 0.3557
H 0.5739 0.0893 0.3569
H 0.9985 0.0735 0.4135
H 0.3402 0.1641 0.4519
H 0.1999 0.7101 0.4865
H 0.8001 0.2899 0.5135
H 0.6598 0.8359 0.5481
H 0.0015 0.9265 0.5865
H 0.4261 0.9107 0.6431
H 0.1948 0.0148 0.6443
H 0.5077 0.1047 0.6653
H 0.2931 0.3095 0.6764
H 0.8340 0.9777 0.7709
H 0.0583 0.1459 0.7878
H 0.5218 0.5353 0.8567
H 0.1272 0.3404 0.8569
H 0.3468 0.9856 0.8579
H 0.5037 0.2870 0.9196
N 0.2523 0.9934 0.0415
N 0.7477 0.0066 0.9585
O 0.1361 0.5081 0.1161
O 0.9330 0.7685 0.1251
O 0.7813 0.4699 0.1645
O 0.3170 0.7441 0.2421
O 0.8439 0.2665 0.2627
O 0.9210 0.9688 0.3588
O 0.5992 0.9859 0.3717
O 0.4008 0.0141 0.6283
O 0.0790 0.0312 0.6412
O 0.1561 0.7335 0.7373
O 0.6830 0.2559 0.7579
O 0.2187 0.5301 0.8355
O 0.0670 0.2315 0.8749
O 0.8639 0.4919 0.8839

***

9.
# RbCo3Si5

Crystalline RbCo3Si5 at its relaxed geometry (PBE, OQMD via LeMat-Bulk).

As for the energy: -50.531 eV per cell.

Lattice parameters (Å, degrees): 4.7215 4.7215 8.7879 90.00 90.00 120.00
Fractional positions:
Co 0.5000 0.0000 0.5000
Co 0.0000 0.5000 0.5000
Co 0.5000 0.5000 0.5000
Rb 0.0000 0.0000 0.0000
Si 0.6667 0.3333 0.2842
Si 0.3333 0.6667 0.2842
Si 0.0000 0.0000 0.5000
Si 0.6667 0.3333 0.7158
Si 0.3333 0.6667 0.7158

***

10.
# PrAgW

Crystalline PrAgW at its relaxed geometry (PBE, OQMD via LeMat-Bulk).

As for the energy: -15.716 eV per cell.

Lattice parameters (Å, degrees): 4.8839 4.8839 4.8839 60.00 60.00 60.00
Fractional positions:
Ag 0.2500 0.2500 0.2500
Pr 0.0000 0.0000 0.0000
W 0.7500 0.7500 0.7500

***

11.
# PrMg

Crystalline PrMg at its relaxed geometry (PBE, OQMD via LeMat-Bulk).

As for the energy: -6.210 eV per cell. The excess energy over the best structure of this formula in the dataset comes out at 172.8 meV/atom.

Lattice parameters (Å, degrees): 3.5201 3.5201 5.6816 90.00 90.00 120.00
Fractional positions:
Mg 0.6667 0.3333 0.7500
Pr 0.3333 0.6667 0.2500

***

12.
# Dy3Tm3Te2Pt

Crystalline Dy3Tm3Te2Pt at its relaxed geometry (PBE, OQMD via LeMat-Bulk).

As for the energy: -47.815 eV per cell. The excess energy over the best structure of this formula in the dataset comes out at 0.0 meV/atom.

Lattice parameters (Å, degrees): 8.3351 8.3351 3.9498 90.00 90.00 120.00
Fractional positions:
Dy 0.4003 0.0000 0.0000
Dy 0.0000 0.4003 0.0000
Dy 0.5997 0.5997 0.0000
Pt 0.0000 0.0000 0.0000
Te 0.6667 0.3333 0.5000
Te 0.3333 0.6667 0.5000
Tm 0.7565 0.0000 0.5000
Tm 0.2435 0.2435 0.5000
Tm 0.0000 0.7565 0.5000